No. 1
Here is a relaxed structure of UTl2Rh3O12 from Alexandria. Energies are from PBE-GGA.

Cell lengths 7.5730, 7.5730, 7.5730 Å; angles 56.69, 56.69, 56.69 degrees
With the nearest neighbours (Å) after each atom.
Fractional positions:
1 O 0.0668 0.6716 0.0668  1 Rh 1.98, 1 U 2.05
2 O 0.0668 0.0668 0.6716  1 Rh 1.98, 1 U 2.05
3 O 0.3187 0.3187 0.9165  2 Rh 1.94
4 O 0.9165 0.3187 0.3187  2 Rh 1.94
5 O 0.6716 0.0668 0.0668  1 Rh 1.98, 1 U 2.05
6 O 0.6813 0.0835 0.6813  2 Rh 1.94
7 O 0.3187 0.9165 0.3187  2 Rh 1.94
8 O 0.9332 0.9332 0.3284  1 Rh 1.98, 1 U 2.05
9 O 0.3284 0.9332 0.9332  1 Rh 1.98, 1 U 2.05
10 O 0.0835 0.6813 0.6813  2 Rh 1.94
11 O 0.6813 0.6813 0.0835  2 Rh 1.94
12 O 0.9332 0.3284 0.9332  1 Rh 1.98, 1 U 2.05
13 U 0.0000 0.0000 0.0000  6 O 2.05
14 Rh 0.0000 0.5000 0.0000  6 O 1.94-1.98
15 Rh 0.5000 0.0000 0.0000  6 O 1.94-1.98
16 Rh 0.0000 0.0000 0.5000  6 O 1.94-1.98
17 Tl 0.4061 0.4061 0.4061  3 O 2.87
18 Tl 0.5939 0.5939 0.5939  3 O 2.87

**Crystal system**: trigonal
**Formation energy (no corrections)**: -1081 meV/atom
**Space group**: R-3m (166)

No. 2
Here is a relaxed structure of SrSc3N from Alexandria. Energies are from PBE-GGA.

Cell lengths 5.1300, 5.1300, 5.1300 Å; angles 90.00, 90.00, 90.00 degrees
With the nearest neighbours (Å) after each atom.
Fractional positions:
1 Sc 0.0000 0.0000 0.5000  2 Sr 2.57
2 Sc 0.0000 0.5000 0.0000  2 Sr 2.57
3 Sc 0.5000 0.0000 0.0000  2 Sr 2.57
4 Sr 0.0000 0.0000 0.0000  6 Sc 2.57
5 N 0.5000 0.5000 0.5000  12 Sc 3.63

**Crystal system**: cubic
**Formation energy (no corrections)**: 2407 meV/atom
**Space group**: Pm-3m (221)

No. 3
Here is a relaxed structure of HfZr2Co9 from Alexandria. Energies are from PBE-GGA.

Cell lengths 4.8090, 4.8090, 8.4277 Å; angles 73.42, 73.42, 60.00 degrees
With the nearest neighbours (Å) after each atom.
Fractional positions:
1 Co 0.4157 0.9210 0.2477  7 Co 2.38-2.45
2 Co 0.4157 0.4157 0.2477  7 Co 2.38-2.45
3 Co 0.5000 0.5000 0.5000  6 Co 2.45
4 Co 0.5843 0.0790 0.7523  7 Co 2.38-2.45
5 Co 0.3348 0.3348 0.9956  6 Co 2.39-2.43
6 Co 0.6652 0.6652 0.0044  6 Co 2.39-2.43
7 Co 0.9210 0.4157 0.2477  7 Co 2.38-2.45
8 Co 0.0790 0.5843 0.7523  7 Co 2.38-2.45
9 Co 0.5843 0.5843 0.7523  7 Co 2.38-2.45
10 Zr 0.8618 0.8618 0.4145  12 Co 2.75-3.02
11 Zr 0.1382 0.1382 0.5855  12 Co 2.75-3.02
12 Hf 0.0000 0.0000 0.0000  18 Co 2.78-3.11

**ΔH_f (0 K)**: -0.2568 eV per atom
**Crystal system**: trigonal
**Space group**: R-3m (166)

no.,size of the total moment (μB per formula unit),final energy (eV per atom)
1,0.0,-6.50
2,0.9,-3.39
3,8.6,-7.84